Below is an optimized crystal structure of Nb2V2Fe15, with properties calculated at the PBE level.

Properties
Its crystal system is trigonal. The theoretical density comes out at 8019 kg/m³. The calculation puts the density of states at the Fermi level at 1.318 states/eV/atom. The energy relative to the elements is 0.02 eV/atom.

Lattice parameters (Å, degrees): 6.226 6.226 6.226 80.84 80.84 80.84
Atoms (fractional coordinates):
Nb1 0.331 0.331 0.331
Nb2 0.669 0.669 0.669
V1 0.098 0.098 0.098
V2 0.902 0.902 0.902
Fe1 0.500 0.000 0.000
Fe2 0.000 0.000 0.500
Fe3 0.000 0.500 0.000
Fe4 0.000 0.683 0.317
Fe5 0.683 0.317 0.000
Fe6 0.317 0.000 0.683
Fe7 0.317 0.683 0.000
Fe8 0.683 0.000 0.317
Fe9 0.000 0.317 0.683
Fe10 0.170 0.657 0.657
Fe11 0.657 0.657 0.170
Fe12 0.657 0.170 0.657
Fe13 0.830 0.343 0.343
Fe14 0.343 0.343 0.830
Fe15 0.343 0.830 0.343